No. 1
TcHgI2N | PBE | optimized geometry

Crystal system: tetragonal

a b c (Å): 5.700 5.700 3.780
angles (deg): 90.00 90.00 90.00
Positions (direct):
I (0.500, 0.000, 0.000)
I (0.000, 0.500, 0.000)
N (0.000, 0.000, 0.500)
Hg (0.500, 0.500, 0.500)
Tc (0.000, 0.000, 0.000)

---

No. 2
HgTe2IN | PBE | optimized geometry

Crystal system: tetragonal

a b c (Å): 6.041 6.041 4.043
angles (deg): 90.00 90.00 90.00
Last column: magnetic moment on the atom in μB.
Positions (direct):
N (0.000, 0.000, 0.500)  0.93
Hg (0.000, 0.000, 0.000)  0.06
Te (0.000, 0.500, 0.000)  0.10
Te (0.500, 0.000, 0.000)  0.10
I (0.500, 0.500, 0.500)  -0.02

---

no.,electronic total energy (eV for the cell shown),magnetization (μB/atom)
1,-20.6,0.00
2,-10.6,0.33